Here is a geometry-optimized Ag2BiSO8 structure from the Alexandria database. Energies are from PBE.

```
data_Ag2BiSO8
_space_group_name_H-M_alt 'P -3 m 1'
_space_group_IT_number 164
_space_group_name_Hall '-P 3 2"'
_cell_length_a 5.1587
_cell_length_b 5.1587
_cell_length_c 6.3644
_cell_angle_alpha 90.00
_cell_angle_beta 90.00
_cell_angle_gamma 120.00
loop_
_atom_site_label
_atom_site_type_symbol
_atom_site_fract_x
_atom_site_fract_y
_atom_site_fract_z
Ag1 Ag 0.3333 0.6667 0.3604
Bi1 Bi 0.0000 0.0000 0.0000
S1 S 0.0000 0.0000 0.5000
O1 O 0.1496 0.2993 0.6546
O2 O 0.3333 0.6667 0.0390
```

Calculated values
* formation energy without anion corrections: -0.100 eV/atom

Here is a geometry-optimized LiNp2P3Pt4 structure from the Alexandria database. Energies are from PBE.

```
data_LiNp2P3Pt4
_space_group_name_H-M_alt 'P -4 m 2'
_space_group_IT_number 115
_space_group_name_Hall 'P -4 -2'
_cell_length_a 4.0711
_cell_length_b 4.0711
_cell_length_c 10.2669
_cell_angle_alpha 90.00
_cell_angle_beta 90.00
_cell_angle_gamma 90.00
loop_
_atom_site_label
_atom_site_type_symbol
_atom_site_fract_x
_atom_site_fract_y
_atom_site_fract_z
Li1 Li 0.0000 0.0000 0.0000
Np1 Np 0.0000 0.5000 0.7449
P1 P 0.0000 0.5000 0.3573
P2 P 0.5000 0.5000 0.0000
Pt1 Pt 0.0000 0.0000 0.5000
Pt2 Pt 0.0000 0.5000 0.1294
Pt3 Pt 0.5000 0.5000 0.5000
```

Calculated values
* formation enthalpy at 0 K: -6.4 eV/f.u.

Here is a geometry-optimized CdGa2Br4 structure from the Alexandria database. Energies are from PBE.

```
data_CdGa2Br4
_space_group_name_H-M_alt 'I 4/m m m'
_space_group_IT_number 139
_space_group_name_Hall '-I 4 2'
_cell_length_a 5.6335
_cell_length_b 5.6335
_cell_length_c 14.8582
_cell_angle_alpha 90.00
_cell_angle_beta 90.00
_cell_angle_gamma 90.00
loop_
_atom_site_label
_atom_site_type_symbol
_atom_site_fract_x
_atom_site_fract_y
_atom_site_fract_z
Cd1 Cd 0.0000 0.0000 0.0000
Ga1 Ga 0.0000 0.0000 0.3697
Br1 Br 0.0000 0.0000 0.1832
Br2 Br 0.0000 0.5000 0.0000
```

Calculated values
* formation energy without anion corrections: -0.578 eV/atom
* relative energy among the computed polymorphs: 90.7 meV/atom

Here is a geometry-optimized Ba2Na5Li structure from the Alexandria database. Energies are from PBE.

```
data_Ba2Na5Li
_space_group_name_H-M_alt 'I 4 m m'
_space_group_IT_number 107
_space_group_name_Hall 'I 4 -2'
_cell_length_a 7.2344
_cell_length_b 7.2344
_cell_length_c 14.2331
_cell_angle_alpha 90.00
_cell_angle_beta 90.00
_cell_angle_gamma 90.00
loop_
_atom_site_label
_atom_site_type_symbol
_atom_site_fract_x
_atom_site_fract_y
_atom_site_fract_z
Ba1 Ba 0.0000 0.5000 0.0000
Na1 Na 0.0000 0.0000 0.3895
Na2 Na 0.2448 0.2448 0.7408
Li1 Li 0.0000 0.0000 0.5999
```

Calculated values
* formation enthalpy at 0 K: 0.8 eV/f.u.
* relative energy among the computed polymorphs: 59.1 meV/atom